Record 1
## PbF (GGA-PBE)

Data for a relaxed structure of PbF.

Geometry as POSCAR:
```
PbF
1.0
-0.095 7.241 2.877
2.845 -2.646 6.754
7.254 1.133 -2.612
Pb F
8 8
Cartesian
3.650 -0.591 5.544
3.136 1.795 2.201
5.807 4.919 2.300
4.162 3.509 5.793
6.903 1.231 3.746
1.806 5.608 3.113
8.138 4.659 5.711
6.414 1.778 -0.328
3.700 3.981 3.348
6.279 3.595 4.406
1.277 0.731 0.896
8.797 -0.396 3.981
6.608 6.967 1.094
3.325 4.153 8.068
5.577 2.422 1.947
4.451 1.457 4.339
```

Output
Its volume is 29.57 A^3/atom. The energy relative to the elements, uncorrected comes out at -1.25 eV per atom.


Record 2
## PbF (GGA-PBE)

Data for a relaxed structure of PbF.

Geometry as POSCAR:
```
PbF
1.0
8.330 0.000 0.000
-4.165 7.214 0.000
0.000 0.000 4.871
F Pb
6 6
Cartesian
6.171 2.727 3.653
-2.006 4.486 1.218
2.882 3.980 3.653
0.723 6.708 1.218
1.282 3.233 1.218
3.441 0.506 3.653
1.322 6.243 3.653
2.843 0.970 1.218
-1.903 5.237 3.653
3.584 4.267 1.218
0.581 2.947 3.653
6.068 1.977 1.218
```

Output
Its volume is 24.39 A^3/atom. The energy relative to the elements, uncorrected comes out at -1.44 eV per atom.


Record 3
## PbF (GGA-PBE)

Data for a relaxed structure of PbF.

Geometry as POSCAR:
```
PbF
1.0
11.110 0.000 0.000
0.000 11.110 0.000
0.000 0.000 3.250
Pb F
8 8
Cartesian
6.444 7.957 1.625
8.709 0.888 0.000
3.154 6.444 1.625
10.222 8.709 0.000
2.401 10.222 0.000
0.888 2.401 0.000
7.957 4.667 1.625
4.667 3.154 1.625
7.010 2.351 1.625
8.760 7.010 1.625
4.101 8.760 1.625
1.455 7.906 0.000
9.656 3.204 0.000
7.906 9.656 0.000
2.351 4.101 1.625
3.204 1.455 0.000
```

Output
Its volume is 25.08 A^3/atom. The energy relative to the elements, uncorrected comes out at -1.43 eV per atom.


Record 4
## PbF (GGA-PBE)

Data for a relaxed structure of PbF.

Geometry as POSCAR:
```
PbF
1.0
3.369 0.000 0.000
0.000 6.009 0.000
0.000 0.000 13.184
Pb F
6 6
Cartesian
1.684 1.962 4.353
0.000 4.047 10.945
0.000 5.509 6.592
1.684 1.962 8.831
1.684 0.500 0.000
0.000 4.047 2.239
0.000 5.213 8.947
0.000 5.213 4.237
1.684 3.658 6.592
1.684 0.796 10.828
0.000 2.351 0.000
1.684 0.796 2.355
```

Output
Its volume is 22.24 A^3/atom. The energy relative to the elements, uncorrected comes out at -1.54 eV per atom.


Record 5
## PbF (GGA-PBE)

Data for a relaxed structure of PbF.

Geometry as POSCAR:
```
PbF
1.0
-1.420 4.074 -1.548
-1.231 -1.419 4.181
4.428 2.341 2.099
Pb F
2 2
Cartesian
-0.250 2.828 0.886
2.027 2.168 3.845
-0.187 0.997 2.796
1.964 3.999 1.936
```

Output
Its volume is 24.70 A^3/atom. The energy relative to the elements, uncorrected comes out at -1.29 eV per atom.


Record 6
## PbF4 (GGA-PBE)

Data for a relaxed structure of PbF4.

Geometry as POSCAR:
```
PbF4
1.0
6.152 0.487 0.000
2.675 4.996 0.000
3.076 0.243 4.772
F Pb
8 2
Cartesian
6.282 3.168 0.284
3.883 4.812 0.284
4.035 2.999 2.108
5.774 0.745 2.663
6.130 4.981 2.108
8.021 0.913 4.488
7.869 2.726 2.663
5.622 2.558 4.488
8.159 4.233 1.192
3.745 1.492 3.580
```

Output
Its volume is 14.05 A^3/atom. The energy relative to the elements, uncorrected comes out at -1.86 eV per atom.


Record 7
## PbF (GGA-PBE)

Data for a relaxed structure of PbF.

Geometry as POSCAR:
```
PbF
1.0
5.929 0.000 0.000
0.000 5.929 0.000
0.000 0.000 5.929
Pb F
4 4
Cartesian
0.000 2.965 2.965
2.965 2.965 0.000
2.965 0.000 2.965
0.000 0.000 0.000
1.482 4.447 4.447
4.447 1.482 4.447
4.447 4.447 1.482
1.482 1.482 1.482
```

Output
Its volume is 26.06 A^3/atom. The energy relative to the elements, uncorrected comes out at -1.25 eV per atom.


Record 8
## Pb2F3 (GGA-PBE)

Data for a relaxed structure of Pb2F3.

Geometry as POSCAR:
```
Pb2F3
1.0
6.507 0.000 0.000
3.253 5.907 0.656
3.253 2.405 5.433
F Pb
6 4
Cartesian
7.446 2.500 1.838
4.192 1.657 1.206
5.568 5.813 4.251
8.821 6.656 4.883
9.759 5.032 1.850
3.254 3.281 4.239
11.143 7.516 5.503
7.889 4.953 3.631
5.124 3.359 2.459
1.870 0.797 0.586
```

Output
Its volume is 19.86 A^3/atom. The energy relative to the elements, uncorrected comes out at -1.90 eV per atom.


Record 9
## Pb5F (GGA-PBE)

Data for a relaxed structure of Pb5F.

Geometry as POSCAR:
```
Pb5F
1.0
-2.023 2.437 1.590
-4.431 -3.995 0.485
5.057 -0.289 6.881
Pb F
5 1
Cartesian
-1.095 -2.495 6.382
-0.302 0.648 2.573
-3.227 -0.779 1.037
-1.164 -2.844 2.879
1.790 -1.440 4.487
0.000 0.000 0.000
```

Output
Its volume is 28.29 A^3/atom. The energy relative to the elements, uncorrected comes out at -0.43 eV per atom.


Record 10
## PbF (GGA-PBE)

Data for a relaxed structure of PbF.

Geometry as POSCAR:
```
PbF
1.0
10.883 0.000 0.000
0.000 10.883 0.000
0.000 0.000 3.380
F Pb
8 8
Cartesian
7.753 6.773 0.000
4.110 7.753 0.000
1.331 8.572 1.690
9.552 2.311 1.690
3.130 4.110 0.000
6.773 3.130 0.000
8.572 9.552 1.690
2.311 1.331 1.690
6.275 8.710 0.000
0.833 3.268 1.690
7.615 0.833 1.690
3.268 10.050 1.690
8.710 4.608 0.000
4.608 2.173 0.000
2.173 6.275 0.000
10.050 7.615 1.690
```

Output
Its volume is 25.02 A^3/atom. The energy relative to the elements, uncorrected comes out at -1.48 eV per atom.


Record 11
## PbF (GGA-PBE)

Data for a relaxed structure of PbF.

Geometry as POSCAR:
```
PbF
1.0
-5.487 1.226 7.623
2.035 -2.497 1.866
4.504 5.441 2.367
Pb F
6 6
Cartesian
0.463 1.411 5.991
0.539 1.354 2.679
3.625 2.647 5.559
-2.609 2.058 7.052
1.285 3.169 8.809
4.968 4.121 2.913
1.384 3.971 6.242
-1.684 -0.364 6.627
0.084 -0.758 4.172
2.454 2.796 3.212
2.574 -0.219 1.888
-1.265 3.627 8.380
```

Output
Its volume is 21.89 A^3/atom. The energy relative to the elements, uncorrected comes out at -1.49 eV per atom.


Record 12
## Pb4F (GGA-PBE)

Data for a relaxed structure of Pb4F.

Geometry as POSCAR:
```
Pb4F
1.0
-3.459 3.417 -1.947
-2.990 -3.969 -1.655
-2.555 0.018 4.572
F Pb
1 4
Cartesian
-4.502 -0.267 0.485
0.000 0.000 0.000
-2.772 -1.975 1.458
-3.007 1.718 1.312
-3.224 -0.276 -1.801
```

Output
Its volume is 28.73 A^3/atom. The energy relative to the elements, uncorrected comes out at -0.49 eV per atom.